--- a ---
Here is HfBi3I after structural relaxation from Alexandria. Energies are from PBE.

DOS at the Fermi energy (states/eV/cell): 1.24

```
HfBi3I
1.0
5.662 0.000 0.000
0.000 5.662 0.000
0.000 0.000 5.662
Bi Hf I
3 1 1
Cartesian
2.831 0.000 0.000
0.000 0.000 2.831
0.000 2.831 0.000
0.000 0.000 0.000
2.831 2.831 2.831
```

---

--- b ---
Here is HfBi3I after structural relaxation from Alexandria. Energies are from PBE.

DOS at the Fermi energy (states/eV/cell): 4.74

```
HfBi3I
1.0
5.780 0.000 0.000
0.000 5.780 0.000
0.000 0.000 5.780
Bi Hf I
3 1 1
Cartesian
0.000 0.000 2.890
0.000 2.890 0.000
2.890 0.000 0.000
2.890 2.890 2.890
0.000 0.000 0.000
```

---

Tell me which of them is the most stable. Sure, it is a.

---

--- a ---
Here is HfBiI2O after structural relaxation from Alexandria. Energies are from PBE.

DOS at the Fermi energy (states/eV/cell): 5.36

```
HfBiI2O
1.0
-0.414 3.040 -5.466
1.937 -5.147 -3.009
-4.025 -1.277 -0.405
I Bi O Hf
2 1 1 1
Cartesian
0.968 -2.573 -1.504
-0.207 1.520 -2.733
0.000 0.000 0.000
-2.012 -0.639 -0.203
-1.251 -1.692 -4.440
```

---

--- b ---
Here is HfBiI2O after structural relaxation from Alexandria. Energies are from PBE.

DOS at the Fermi energy (states/eV/cell): 2.74

```
HfBiI2O
1.0
-1.631 0.157 -5.721
-2.582 -5.329 0.590
-3.389 1.755 1.014
I Hf O Bi
2 1 1 1
Cartesian
-0.815 0.079 -2.861
-1.291 -2.665 0.295
0.000 0.000 0.000
-1.695 0.877 0.507
-3.801 -1.709 -2.059
```

---

Tell me which of them is the most stable. Sure, it is b.

---

--- a ---
Here is Hf2InBi after structural relaxation from Alexandria. Energies are from PBE.

DOS at the Fermi energy (states/eV/cell): 3.09

```
Hf2InBi
1.0
3.797 0.000 0.000
0.000 3.797 0.000
0.000 0.000 6.454
In Hf Bi
1 2 1
Cartesian
1.899 1.899 0.000
0.000 0.000 1.575
0.000 0.000 4.879
1.899 1.899 3.227
```

---

--- b ---
Here is Hf2InBi after structural relaxation from Alexandria. Energies are from PBE.

DOS at the Fermi energy (states/eV/cell): 3.63

```
Hf2InBi
1.0
3.281 0.000 0.000
1.641 2.842 0.000
1.641 0.947 10.175
Bi Hf In
1 2 1
Cartesian
3.281 1.894 0.003
1.641 0.947 2.578
1.641 0.947 7.595
3.281 1.894 5.087
```

---

--- c ---
Here is Hf2InBi after structural relaxation from Alexandria. Energies are from PBE.

DOS at the Fermi energy (states/eV/cell): 1.30

```
Hf2InBi
1.0
4.338 0.000 0.000
0.000 4.624 0.000
0.000 0.000 4.624
Hf In Bi
2 1 1
Cartesian
0.000 0.000 2.312
0.000 2.312 0.000
2.169 2.312 2.312
2.169 0.000 0.000
```

---

--- d ---
Here is Hf2InBi after structural relaxation from Alexandria. Energies are from PBE.

DOS at the Fermi energy (states/eV/cell): 0.10

```
Hf2InBi
1.0
6.165 0.000 0.000
0.000 6.165 0.000
3.082 3.082 7.367
Bi Hf In
2 4 2
Cartesian
0.000 0.000 0.000
6.165 3.082 3.683
1.665 4.623 1.842
4.499 1.541 1.842
7.706 7.582 5.525
4.623 4.748 5.525
3.082 3.082 0.000
3.082 6.165 3.683
```

---

Tell me which of them is the most stable. Sure, it is c.

---

--- a ---
Here is Hf2InBi after structural relaxation from Alexandria. Energies are from PBE.

DOS at the Fermi energy (states/eV/cell): 3.31

```
Hf2InBi
1.0
2.766 -1.091 4.123
-2.232 -2.016 4.098
0.890 -4.845 1.255
Hf In Bi
2 1 1
Cartesian
1.068 -5.963 7.107
0.356 -1.988 2.369
0.000 0.000 0.000
0.712 -3.976 4.738
```

---

--- b ---
Here is Hf2InBi after structural relaxation from Alexandria. Energies are from PBE.

DOS at the Fermi energy (states/eV/cell): 1.60

```
Hf2InBi
1.0
-3.940 -0.763 0.877
-2.089 -2.782 -2.185
-0.051 -6.159 4.029
Hf In Bi
2 1 1
Cartesian
-1.549 -2.353 0.615
-4.531 -7.351 2.106
0.000 0.000 0.000
-3.040 -4.852 1.361
```

---

Tell me which of them is the most stable. Sure, it is a.